[1]
A geometry-optimized DyTiGa6 structure. Source: Alexandria via LeMat-Bulk, functional PBE.

- ΔE_f (meV per atom) = -419
- volume (Å³/atom) = 17.7
- symmetry = P4/mmm, No. 123

Lattice parameters (Å, degrees): 4.1512 4.1512 8.2226 90.00 90.00 90.00
Last column: nearest neighbours and their distance in Å.
Fractional positions:
Dy: 0.0000 0.0000 0.0000  12 Ga 2.94-3.02
Ti: 0.0000 0.0000 0.5000  12 Ga 2.83-2.94
Ga: 0.0000 0.5000 0.2660  2 Ti 2.83, 8 Ga 2.83-3.02, 2 Dy 3.02
Ga: 0.0000 0.5000 0.7340  2 Ti 2.83, 8 Ga 2.83-3.02, 2 Dy 3.02
Ga: 0.5000 0.0000 0.2660  2 Ti 2.83, 8 Ga 2.83-3.02, 2 Dy 3.02
Ga: 0.5000 0.0000 0.7340  2 Ti 2.83, 8 Ga 2.83-3.02, 2 Dy 3.02
Ga: 0.5000 0.5000 0.0000  4 Dy 2.94, 8 Ga 3.02
Ga: 0.5000 0.5000 0.5000  8 Ga 2.83, 4 Ti 2.94

[2]
A geometry-optimized La4PtAu structure. Source: Alexandria via LeMat-Bulk, functional PBE.

- ΔE_f (meV per atom) = -684
- volume (Å³/atom) = 31.2
- symmetry = P2_1/m, No. 11
- excess energy over the best structure of this formula in the dataset (eV per atom) = 0.0000

Lattice parameters (Å, degrees): 6.5806 7.3224 8.1996 90.00 108.37 90.00
Last column: nearest neighbours and their distance in Å.
Fractional positions:
La: 0.0057 0.0018 0.2397  2 Pt 3.01-3.02, 2 Au 3.13-3.15
La: 0.0057 0.4982 0.2397  2 Pt 3.01-3.02, 2 Au 3.13-3.15
La: 0.4256 0.2500 0.6167  1 Pt 2.94, 1 Au 3.08
La: 0.4271 0.2500 0.0972  1 Pt 2.95, 1 Au 3.05
La: 0.5729 0.7500 0.9028  1 Pt 2.95, 1 Au 3.05
La: 0.5744 0.7500 0.3833  1 Pt 2.94, 1 Au 3.08
La: 0.9943 0.5018 0.7603  2 Pt 3.01-3.02, 2 Au 3.13-3.15
La: 0.9943 0.9982 0.7603  2 Pt 3.01-3.02, 2 Au 3.13-3.15
Pt: 0.2232 0.7500 0.0555  6 La 2.94-3.02
Pt: 0.7768 0.2500 0.9445  6 La 2.94-3.02
Au: 0.2199 0.7500 0.5557  6 La 3.05-3.15
Au: 0.7801 0.2500 0.4443  6 La 3.05-3.15

[3]
A geometry-optimized PmPr6Y3Er2 structure. Source: Alexandria via LeMat-Bulk, functional PBE.

- ΔE_f (meV per atom) = 10
- volume (Å³/atom) = 33.9
- symmetry = C2/m, No. 12

Lattice parameters (Å, degrees): 6.3249 6.3249 11.9348 95.06 95.06 120.00
Last column: nearest neighbours and their distance in Å.
Fractional positions:
Pm: 0.0000 0.0000 0.0000  6 Pr 3.61, 6 Er 3.65
Pr: 0.0838 0.4179 0.2495  2 Er 3.61, 1 Pm 3.61, 3 Y 3.62, 6 Pr 3.65-3.66
Pr: 0.2501 0.2501 0.7506  1 Pm 3.61, 2 Er 3.61, 3 Y 3.62, 6 Pr 3.65-3.66
Pr: 0.4179 0.0838 0.2495  2 Er 3.61, 1 Pm 3.61, 3 Y 3.62, 6 Pr 3.65-3.66
Pr: 0.5821 0.9162 0.7505  2 Er 3.61, 1 Pm 3.61, 3 Y 3.62, 6 Pr 3.65-3.66
Pr: 0.7499 0.7499 0.2494  1 Pm 3.61, 2 Er 3.61, 3 Y 3.62, 6 Pr 3.65-3.66
Pr: 0.9162 0.5821 0.7505  2 Er 3.61, 1 Pm 3.61, 3 Y 3.62, 6 Pr 3.65-3.66
Y: 0.1668 0.8332 0.5000  6 Pr 3.62, 6 Y 3.65
Y: 0.5000 0.5000 0.5000  6 Pr 3.62, 6 Y 3.65
Y: 0.8332 0.1668 0.5000  6 Pr 3.62, 6 Y 3.65
Er: 0.3335 0.6665 0.0000  6 Pr 3.61, 3 Er 3.65, 3 Pm 3.65
Er: 0.6665 0.3335 0.0000  6 Pr 3.61, 3 Er 3.65, 3 Pm 3.65

[4]
A geometry-optimized Ca2Hg8Pt structure. Source: Alexandria via LeMat-Bulk, functional PBE.

- ΔE_f (meV per atom) = -304
- volume (Å³/atom) = 25.1
- symmetry = P4/mmm, No. 123

Lattice parameters (Å, degrees): 4.8172 4.8172 11.9022 90.00 90.00 90.00
Last column: nearest neighbours and their distance in Å.
Fractional positions:
Ca: 0.0000 0.0000 0.1977  12 Hg 3.18-3.41
Ca: 0.0000 0.0000 0.8023  12 Hg 3.18-3.41
Hg: 0.0000 0.5000 0.0000  8 Hg 3.28-3.41, 4 Ca 3.37
Hg: 0.0000 0.5000 0.3724  2 Pt 2.85, 1 Hg 3.04, 2 Ca 3.18
Hg: 0.0000 0.5000 0.6276  2 Pt 2.85, 1 Hg 3.04, 2 Ca 3.18
Hg: 0.5000 0.0000 0.0000  8 Hg 3.28-3.41, 4 Ca 3.37
Hg: 0.5000 0.0000 0.3724  2 Pt 2.85, 1 Hg 3.04, 2 Ca 3.18
Hg: 0.5000 0.0000 0.6276  2 Pt 2.85, 1 Hg 3.04, 2 Ca 3.18
Hg: 0.5000 0.5000 0.1874  8 Hg 3.26-3.28, 4 Ca 3.41
Hg: 0.5000 0.5000 0.8126  8 Hg 3.26-3.28, 4 Ca 3.41
Pt: 0.0000 0.0000 0.5000  8 Hg 2.85

- volume of number 3 (PmPr6Y3Er2)?
  33.9 Å³/atom

- Among the records above, which one has the lowest ΔE_f?
  La4PtAu